Record 1
A plane-wave DFT calculation with PBE was carried out for a geometry-optimized NaTl8Hg4 structure.

The calculation puts the energy of formation from the pure elements at 0.09 eV/atom. The value obtained for the volume is 1771 Å³/cell.

The space group is F-43m (No. 216) and the conventional cell measures 12.098, 12.098 and 12.098 Å, with angles of 90.00, 90.00 and 90.00 degrees. The asymmetric unit holds Na at (0.000, 0.000, 0.000), Tl at (0.146, 0.146, 0.854), Tl at (0.150, 0.150, 0.350) and Hg at (0.101, 0.101, 0.601).

---

Record 2
A plane-wave DFT calculation with PBE was carried out for a geometry-optimized NaTl8Hg6 structure.

The calculation puts the energy of formation from the pure elements at -0.02 eV/atom. Its energy above the most stable polymorph in this dataset is 0.00 kcal/mol of atoms. The value obtained for the volume is 1404 Å³/cell.

The space group is R-3 (No. 148, hexagonal axes) and the conventional cell measures 8.9701, 8.9701 and 20.1445 Å, with angles of 90.00, 90.00 and 120.00 degrees. The asymmetric unit holds Na at (0.0000, 0.0000, 0.0000), Tl at (0.0000, 0.0000, 0.3285), Tl at (0.9998, 0.3319, 0.1140) and Hg at (0.0014, 0.3373, 0.2737).

---

Record 3
A plane-wave DFT calculation with PBE was carried out for a geometry-optimized Na2TlHg structure.

The calculation puts the energy of formation from the pure elements at -0.15 eV/atom. The value obtained for the volume is 230 Å³/cell.

The space group is P-3m1 (No. 164) and the conventional cell measures 5.2062, 5.2062 and 9.7786 Å, with angles of 90.00, 90.00 and 120.00 degrees. The asymmetric unit holds Na at (0.3333, 0.6667, 0.0634), Na at (0.3333, 0.6667, 0.4043), Tl at (0.0000, 0.0000, 0.1909) and Hg at (0.3333, 0.6667, 0.7329).

---

Record 4
A plane-wave DFT calculation with PBE was carried out for a geometry-optimized NaTl5Hg4 structure.

The calculation puts the energy of formation from the pure elements at -0.05 eV/atom. The value obtained for the volume is 575 Å³/cell.

The space group is C2/m (No. 12) and the conventional cell measures 16.412, 3.341 and 10.959 Å, with angles of 90.00, 106.91 and 90.00 degrees. The asymmetric unit holds Na at (0.000, 0.000, 0.000), Tl at (0.000, 0.000, 0.500), Tl at (0.191, 0.500, 0.593), Tl at (0.208, 0.500, 0.109), Hg at (0.089, 0.500, 0.812) and Hg at (0.100, 0.000, 0.291).

---

Record 5
A plane-wave DFT calculation with PBE was carried out for a geometry-optimized Na2TlHg5 structure.

The calculation puts the energy of formation from the pure elements at -0.16 eV/atom. Its energy above the most stable polymorph in this dataset is 0.08 kcal/mol of atoms. The value obtained for the volume is 420 Å³/cell.

The space group is Pbam (No. 55) and the conventional cell measures 6.734, 13.277 and 4.702 Å, with angles of 90.00, 90.00 and 90.00 degrees. The asymmetric unit holds Na at (0.233, 0.131, 0.000), Tl at (0.000, 0.500, 0.500), Hg at (0.000, 0.000, 0.500), Hg at (0.021, 0.753, 0.500) and Hg at (0.243, 0.375, 0.000).

---

Record 6
A plane-wave DFT calculation with PBE was carried out for a geometry-optimized NaTl2Hg structure.

The calculation puts the energy of formation from the pure elements at -0.06 eV/atom. The value obtained for the volume is 959 Å³/cell.

The space group is Cmce (No. 64) and the conventional cell measures 6.772, 16.093 and 8.798 Å, with angles of 90.00, 90.00 and 90.00 degrees. The asymmetric unit holds Na at (0.000, 0.122, 0.048), Tl at (0.000, 0.149, 0.435), Tl at (0.250, 0.209, 0.750) and Hg at (0.000, 0.025, 0.725).

---

Number 1: density of states at the Fermi level 0.806 states/eV/atom. Number 2: density of states at the Fermi level 0.332 states/eV/atom. Number 3: density of states at the Fermi level 0.409 states/eV/atom. Number 4: density of states at the Fermi level 0.309 states/eV/atom. Number 5: density of states at the Fermi level 0.282 states/eV/atom. Number 6: density of states at the Fermi level 0.513 states/eV/atom.